[1]
First-principles (PBE-GGA) data for an optimized crystal structure of CuNiOs2, as listed in the Alexandria database.

Calculated values
Raw total energy   -7.873 eV/atom
E above lowest polymorph   0.18 eV per formula unit
V   52.2 Å³/cell
Formation energy from the elements   0.2112 eV/atom

Cell lengths 4.590, 4.590, 4.530 Å; angles 81.01, 81.01, 33.69 degrees
Fractional positions:
Cu: 0.502 0.502 0.479
Ni: 0.251 0.251 0.270
Os: 0.000 0.000 0.982
Os: 0.748 0.748 0.768

[2]
First-principles (PBE-GGA) data for an optimized crystal structure of CuReNi2Os, as listed in the Alexandria database.

Calculated values
Raw total energy   -6.119 eV/atom
V   94.5 Å³/cell
Formation energy from the elements   1.7483 eV/atom

Cell lengths 4.497, 4.674, 4.497 Å; angles 90.00, 90.00, 90.00 degrees
Fractional positions:
Re: 0.000 0.500 0.000
Os: 0.000 0.000 0.000
Cu: 0.500 0.500 0.500
Ni: 0.000 0.000 0.500
Ni: 0.500 0.000 0.000

[3]
First-principles (PBE-GGA) data for an optimized crystal structure of CuNiOsRh, as listed in the Alexandria database.

Calculated values
Raw total energy   -6.762 eV/atom
V   52.8 Å³/cell
Formation energy from the elements   0.3527 eV/atom

Cell lengths 4.212, 4.212, 4.212 Å; angles 60.00, 60.00, 60.00 degrees
Fractional positions:
Rh: 0.500 0.500 0.500
Os: 0.750 0.750 0.750
Cu: 0.250 0.250 0.250
Ni: 0.000 0.000 0.000

[4]
First-principles (PBE-GGA) data for an optimized crystal structure of CuNiOsS2, as listed in the Alexandria database.

Calculated values
Raw total energy   -4.980 eV/atom
Energy relative to the elements, uncorrected   0.893 eV per atom
V   95.1 Å³/cell

Cell lengths 4.489, 4.720, 4.489 Å; angles 90.00, 90.00, 90.00 degrees
Fractional positions:
Ni: 0.000 0.500 0.000
S: 0.000 0.000 0.500
S: 0.500 0.000 0.000
Os: 0.000 0.000 0.000
Cu: 0.500 0.500 0.500

[5]
First-principles (PBE-GGA) data for an optimized crystal structure of CuNiSb2Os, as listed in the Alexandria database.

Calculated values
Raw total energy   -4.420 eV/atom
Energy relative to the elements, uncorrected   1.450 eV per atom
V   109.0 Å³/cell

Cell lengths 4.853, 4.626, 4.853 Å; angles 90.00, 90.00, 90.00 degrees
Fractional positions:
Sb: 0.000 0.000 0.500
Sb: 0.500 0.000 0.000
Os: 0.000 0.500 0.000
Cu: 0.000 0.000 0.000
Ni: 0.500 0.500 0.500

[6]
First-principles (PBE-GGA) data for an optimized crystal structure of CuTc2NiOs, as listed in the Alexandria database.

Calculated values
Raw total energy   -6.773 eV/atom
V   79.1 Å³/cell
Formation energy from the elements   1.5951 eV/atom

Cell lengths 4.351, 4.176, 4.351 Å; angles 90.00, 90.00, 90.00 degrees
Fractional positions:
Ni: 0.000 0.000 0.000
Os: 0.500 0.500 0.500
Tc: 0.000 0.000 0.500
Tc: 0.500 0.000 0.000
Cu: 0.000 0.500 0.000